Entry 1:
ReMo2As after structural relaxation, computed with PBE-GGA.

Cell lengths 2.792, 2.792, 8.560 Å; angles 90.00, 90.00, 109.78 degrees
Fractional positions:
Re  0.500  0.500  0.250
Mo  0.000  0.000  0.502
Mo  0.000  0.000  0.998
As  0.500  0.500  0.750

Results
Space group = Cmmm
Energy of formation = 0.295 eV per atom
DFT total energy = -9.395 eV/atom



Entry 2:
ReMo2As after structural relaxation, computed with PBE-GGA.

Cell lengths 4.150, 2.911, 5.885 Å; angles 60.15, 90.00, 90.00 degrees
Fractional positions:
Mo  0.000  0.497  0.500
Mo  0.000  0.003  0.000
As  0.500  0.750  0.750
Re  0.500  0.250  0.250

Results
Space group = P2/m
Energy of formation = 0.123 eV per atom
DFT total energy = -9.567 eV/atom



Entry 3:
Re2MoAs after structural relaxation, computed with PBE-GGA.

Cell lengths 8.907, 8.907, 8.907 Å; angles 18.40, 18.40, 18.40 degrees
Fractional positions:
Re  0.998  0.998  0.998
Re  0.250  0.250  0.250
As  0.500  0.500  0.500
Mo  0.751  0.751  0.751

Results
Space group = R3m
Energy of formation = 0.208 eV per atom
DFT total energy = -9.886 eV/atom



Entry 4:
Re2MoAs after structural relaxation, computed with PBE-GGA.

Cell lengths 2.773, 2.773, 8.939 Å; angles 90.00, 90.00, 114.28 degrees
Fractional positions:
Mo  0.500  0.500  0.752
Re  0.000  0.000  0.001
Re  0.500  0.500  0.245
As  0.000  0.000  0.502

Results
Space group = Cmm2
Energy of formation = 0.447 eV per atom
DFT total energy = -9.648 eV/atom



Q: Which of these has the highest DFT total energy?
A: number 1



Q: Number 4 is which compound?
A: Re2MoAs



What did the fourth record say?
Re2MoAs after structural relaxation, computed with PBE-GGA.

Cell lengths 2.773, 2.773, 8.939 Å; angles 90.00, 90.00, 114.28 degrees
Fractional positions:
Mo  0.500  0.500  0.752
Re  0.000  0.000  0.001
Re  0.500  0.500  0.245
As  0.000  0.000  0.502

Results
Space group = Cmm2
Energy of formation = 0.447 eV per atom
DFT total energy = -9.648 eV/atom